Record 1
# TaCr3

A geometry-optimized TaCr3 structure (PBE, Alexandria via LeMat-Bulk).

abc: 2.6429 2.6429 8.1832
angles: 90.00 90.00 110.57
Sites, in units of the cell vectors:
Ta (0.0000, 0.0000, 0.0000)
Cr (0.0000, 0.0000, 0.5000)
Cr (0.5000, 0.5000, 0.2717)
Cr (0.5000, 0.5000, 0.7283)

Computed properties:
- Final energy: -0.36963 Ha/atom
- Density of states at the Fermi level: 2.24 states/eV per cell
- Formation enthalpy at 0 K: 0.49 eV/f.u.
- Magnetization: 0.00 μB per formula unit

Record 2
# TaCr5

A geometry-optimized TaCr5 structure (PBE, Alexandria via LeMat-Bulk).

abc: 4.8110 4.8110 4.8110
angles: 60.00 60.00 60.00
Sites, in units of the cell vectors:
Ta (0.0000, 0.0000, 0.0000)
Cr (0.3745, 0.3745, 0.3745)
Cr (0.3745, 0.3745, 0.8766)
Cr (0.3745, 0.8766, 0.3745)
Cr (0.7500, 0.7500, 0.7500)
Cr (0.8766, 0.3745, 0.3745)

Computed properties:
- Final energy: -0.36423 Ha/atom
- Density of states at the Fermi level: 7.66 states/eV per cell
- Formation enthalpy at 0 K: 0.50 eV/f.u.
- Energy above the most stable polymorph in this dataset: 57 meV/atom
- Magnetization: 2.14 μB per formula unit

Record 3
# TaCr

A geometry-optimized TaCr structure (PBE, Alexandria via LeMat-Bulk).

abc: 3.0184 3.0184 7.8738
angles: 90.00 90.00 120.00
Sites, in units of the cell vectors:
Ta (0.0000, 0.0000, 0.0000)
Ta (0.0000, 0.0000, 0.5000)
Cr (0.3333, 0.6667, 0.2500)
Cr (0.6667, 0.3333, 0.7500)

Computed properties:
- Final energy: -0.38021 Ha/atom
- Density of states at the Fermi level: 3.56 states/eV per cell
- Formation enthalpy at 0 K: 0.78 eV/f.u.
- Magnetization: 0.00 μB per formula unit

Record 4
# TaCr

A geometry-optimized TaCr structure (PBE, Alexandria via LeMat-Bulk).

abc: 8.7180 8.7180 8.7180
angles: 19.08 19.08 19.08
Sites, in units of the cell vectors:
Ta (0.1178, 0.1178, 0.1178)
Ta (0.8822, 0.8822, 0.8822)
Cr (0.3652, 0.3652, 0.3652)
Cr (0.6348, 0.6348, 0.6348)

Computed properties:
- Final energy: -0.38204 Ha/atom
- Density of states at the Fermi level: 4.38 states/eV per cell
- Formation enthalpy at 0 K: 0.68 eV/f.u.
- Magnetization: 0.00 μB per formula unit

Record 5
# Ta2Cr

A geometry-optimized Ta2Cr structure (PBE, Alexandria via LeMat-Bulk).

abc: 5.4041 5.4041 8.7070
angles: 90.00 90.00 120.00
Sites, in units of the cell vectors:
Ta (0.0000, 0.0000, 0.0000)
Ta (0.0000, 0.0000, 0.5000)
Ta (0.1702, 0.3404, 0.2500)
Ta (0.1702, 0.8298, 0.2500)
Ta (0.3404, 0.1702, 0.7500)
Ta (0.6596, 0.8298, 0.2500)
Ta (0.8298, 0.1702, 0.7500)
Ta (0.8298, 0.6596, 0.7500)
Cr (0.3333, 0.6667, 0.5561)
Cr (0.3333, 0.6667, 0.9439)
Cr (0.6667, 0.3333, 0.0561)
Cr (0.6667, 0.3333, 0.4439)

Computed properties:
- Final energy: -0.38115 Ha/atom
- Density of states at the Fermi level: 19.55 states/eV per cell
- Formation enthalpy at 0 K: 2.21 eV/f.u.
- Magnetization: 2.25 μB per formula unit

Record 6
# TaCr

A geometry-optimized TaCr structure (PBE, Alexandria via LeMat-Bulk).

abc: 5.0519 5.0519 5.1016
angles: 90.00 90.00 90.00
Sites, in units of the cell vectors:
Ta (0.2097, 0.2097, 0.0000)
Ta (0.2903, 0.7097, 0.5000)
Ta (0.7097, 0.2903, 0.5000)
Ta (0.7903, 0.7903, 0.0000)
Cr (0.2018, 0.2018, 0.5000)
Cr (0.2982, 0.7018, 0.0000)
Cr (0.7018, 0.2982, 0.0000)
Cr (0.7982, 0.7982, 0.5000)

Computed properties:
- Final energy: -0.36264 Ha/atom
- Density of states at the Fermi level: 7.98 states/eV per cell
- Formation enthalpy at 0 K: 1.74 eV/f.u.
- Magnetization: 0.00 μB per formula unit

Record 7
# Ta4Cr3

A geometry-optimized Ta4Cr3 structure (PBE, Alexandria via LeMat-Bulk).

abc: 4.8988 4.8988 5.2527
angles: 90.00 90.00 120.00
Sites, in units of the cell vectors:
Ta (0.0000, 0.0000, 0.2485)
Ta (0.0000, 0.0000, 0.7515)
Ta (0.3333, 0.6667, 0.0000)
Ta (0.6667, 0.3333, 0.0000)
Cr (0.0000, 0.5000, 0.5000)
Cr (0.5000, 0.0000, 0.5000)
Cr (0.5000, 0.5000, 0.5000)

Computed properties:
- Final energy: -0.40239 Ha/atom
- Density of states at the Fermi level: 6.24 states/eV per cell
- Formation enthalpy at 0 K: -0.37 eV/f.u.
- Energy above the most stable polymorph in this dataset: 0 meV/atom
- Magnetization: 0.00 μB per formula unit

Record 8
# Ta2Cr

A geometry-optimized Ta2Cr structure (PBE, Alexandria via LeMat-Bulk).

abc: 6.9012 6.6808 2.8390
angles: 82.33 73.61 24.06
Sites, in units of the cell vectors:
Ta (0.1563, 0.1563, 0.8437)
Ta (0.8437, 0.8437, 0.1563)
Cr (0.5000, 0.5000, 0.5000)

Computed properties:
- Final energy: -0.40575 Ha/atom
- Density of states at the Fermi level: 2.71 states/eV per cell
- Formation enthalpy at 0 K: 0.21 eV/f.u.
- Magnetization: 0.00 μB per formula unit